1.
{
  "formula": "CdNiAs2Se",
  "functional": "PBE-GGA",
  "state": "optimized geometry",
  "lattice_angstrom": [[4.557, 0.000, 0.000], [0.000, 4.557, 0.000], [0.000, 0.000, 5.144]],
  "species": ["Cd", "Ni", "As", "As", "Se"],
  "fractional_positions": [[0.000, 0.000, 0.000], [0.500, 0.500, 0.500], [0.000, 0.500, 0.500], [0.500, 0.000, 0.500], [0.500, 0.500, 0.000]],
  "total_magnetization_mub_per_cell": 0.125,
  "energy_ev_per_atom": -3.59,
  "e_form_raw_ev_per_atom": 0.304,
  "relative_energy_ev_per_fu": 0.00,
  "spacegroup": "P4/mmm (123)"
}



2.
{
  "formula": "Mg2TlInCl8",
  "functional": "PBE-GGA",
  "state": "optimized geometry",
  "lattice_angstrom": [[6.354, 0.000, 0.000], [1.386, 6.206, 0.000], [1.852, 1.508, 8.595]],
  "species": ["Mg", "Mg", "Tl", "In", "Cl", "Cl", "Cl", "Cl", "Cl", "Cl", "Cl", "Cl"],
  "fractional_positions": [[0.052, 0.052, 0.282], [0.948, 0.948, 0.718], [0.500, 0.500, 0.500], [0.500, 0.500, 0.000], [0.165, 0.170, 0.485], [0.239, 0.693, 0.216], [0.240, 0.244, 0.033], [0.309, 0.764, 0.783], [0.691, 0.236, 0.217], [0.760, 0.756, 0.967], [0.761, 0.307, 0.784], [0.835, 0.830, 0.515]],
  "total_magnetization_mub_per_cell": 0.000,
  "energy_ev_per_atom": -3.32,
  "e_form_raw_ev_per_atom": -1.395,
  "spacegroup": "P-1 (2)"
}



3.
{
  "formula": "LiCaRh2",
  "functional": "PBE-GGA",
  "state": "optimized geometry",
  "lattice_angstrom": [[4.549, -1.493, 0.000], [4.549, 1.493, 0.000], [-1.302, 0.000, 4.794]],
  "species": ["Li", "Ca", "Rh", "Rh"],
  "fractional_positions": [[0.000, 0.000, 0.000], [0.500, 0.500, 0.500], [0.261, 0.261, 0.780], [0.739, 0.739, 0.220]],
  "total_magnetization_mub_per_cell": 0.000,
  "energy_ev_per_atom": -4.79,
  "spacegroup": "C2/m (12)",
  "formation_enthalpy_0k_ev_per_atom": -0.136
}



4.
{
  "formula": "AlAgP2O",
  "functional": "PBE-GGA",
  "state": "optimized geometry",
  "lattice_angstrom": [[5.036, 0.000, 0.000], [0.000, 5.036, 0.000], [0.000, 0.000, 3.325]],
  "species": ["Al", "Ag", "P", "P", "O"],
  "fractional_positions": [[0.000, 0.000, 0.000], [0.500, 0.500, 0.500], [0.000, 0.500, 0.000], [0.500, 0.000, 0.000], [0.000, 0.000, 0.500]],
  "total_magnetization_mub_per_cell": 0.000,
  "energy_ev_per_atom": -4.60,
  "e_form_raw_ev_per_atom": -0.121,
  "relative_energy_ev_per_fu": 0.00,
  "spacegroup": "P4/mmm (123)"
}



5.
{
  "formula": "Nd2TmAl3Pd4",
  "functional": "PBE-GGA",
  "state": "optimized geometry",
  "lattice_angstrom": [[4.380, 0.000, 0.000], [0.000, 4.380, 0.000], [0.000, 0.000, 10.844]],
  "species": ["Nd", "Nd", "Tm", "Al", "Al", "Al", "Pd", "Pd", "Pd", "Pd"],
  "fractional_positions": [[0.000, 0.500, 0.231], [0.500, 0.000, 0.769], [0.000, 0.000, 0.500], [0.000, 0.500, 0.883], [0.500, 0.000, 0.117], [0.500, 0.500, 0.500], [0.000, 0.000, 0.000], [0.000, 0.500, 0.652], [0.500, 0.000, 0.348], [0.500, 0.500, 0.000]],
  "total_magnetization_mub_per_cell": 0.000,
  "energy_ev_per_atom": -5.42,
  "spacegroup": "P-4m2 (115)",
  "formation_enthalpy_0k_ev_per_atom": -0.819
}



6.
{
  "formula": "Er6Cd2Ni",
  "functional": "PBE-GGA",
  "state": "optimized geometry",
  "lattice_angstrom": [[7.192, 0.000, 0.000], [0.000, 7.109, 0.000], [-7.022, 0.000, 9.711]],
  "species": ["Er", "Er", "Er", "Er", "Er", "Er", "Er", "Er", "Er", "Er", "Er", "Er", "Cd", "Cd", "Cd", "Cd", "Ni", "Ni"],
  "fractional_positions": [[0.180, 0.000, 0.257], [0.180, 0.500, 0.757], [0.295, 0.245, 0.543], [0.295, 0.255, 0.043], [0.297, 0.748, 0.043], [0.297, 0.752, 0.543], [0.703, 0.248, 0.457], [0.703, 0.252, 0.957], [0.705, 0.745, 0.957], [0.705, 0.755, 0.457], [0.820, 0.000, 0.743], [0.820, 0.500, 0.243], [0.255, 0.502, 0.256], [0.255, 0.998, 0.756], [0.745, 0.002, 0.244], [0.745, 0.498, 0.744], [0.000, 0.000, 0.000], [0.000, 0.500, 0.500]],
  "total_magnetization_mub_per_cell": 0.000,
  "energy_ev_per_atom": -4.04,
  "spacegroup": "P2_1/c (14)",
  "formation_enthalpy_0k_ev_per_atom": -0.155
}